1.
## Ba2Ag2C (GGA-PBEsol)

Data for crystalline Ba2Ag2C at its relaxed geometry.

The structure in POSCAR format:
```
Ba2Ag2C
1.0
-1.8541 1.8541 9.1851
1.8541 -1.8541 9.1851
1.8541 1.8541 -9.1851
Ba Ag C
2 2 1
Direct
0.0869 0.0869 0.0000
0.9131 0.9131 0.0000
0.2500 0.7500 0.5000
0.7500 0.2500 0.5000
0.5000 0.5000 0.0000
```

Results
Crystal system ... tetragonal
ρ ... 6.6 Mg/m³
E ... -3.632 eV per atom
Energy relative to the elements ... 0.4807 eV per atom



2.
## BaMn2AgC (GGA-PBEsol)

Data for crystalline BaMn2AgC at its relaxed geometry.

The structure in POSCAR format:
```
BaMn2AgC
1.0
6.4813 0.0000 0.0000
0.0000 6.4813 0.0000
0.0000 0.0000 6.0133
Ba Mn Ag C
1 2 1 1
Direct
0.0000 0.0000 0.0000
0.0000 0.5000 0.0000
0.5000 0.0000 0.0000
0.0000 0.0000 0.5000
0.5000 0.5000 0.5000
```

Results
Crystal system ... tetragonal
ρ ... 2.4 Mg/m³
E ... -3.598 eV per atom
Energy relative to the elements ... 3.3275 eV per atom



3.
## BaAgRuC2 (GGA-PBEsol)

Data for crystalline BaAgRuC2 at its relaxed geometry.

The structure in POSCAR format:
```
BaAgRuC2
1.0
4.0591 0.0000 0.0000
0.0000 4.0591 0.0000
0.0000 0.0000 6.0060
Ba Ag Ru C
1 1 1 2
Direct
0.0000 0.0000 0.0000
0.5000 0.5000 0.0000
0.0000 0.0000 0.5000
0.0000 0.5000 0.5000
0.5000 0.0000 0.5000
```

Results
Crystal system ... tetragonal
ρ ... 6.2 Mg/m³
E ... -5.528 eV per atom
Energy relative to the elements ... 1.4561 eV per atom



4.
## BaCa2Ag (GGA-PBEsol)

Data for crystalline BaCa2Ag at its relaxed geometry.

The structure in POSCAR format:
```
BaCa2Ag
1.0
-1.9232 3.0147 6.2298
1.9232 -3.0147 6.2298
1.9232 3.0147 -6.2298
Ba Ca Ag
1 2 1
Direct
0.0000 0.0000 0.0000
0.3061 0.8061 0.5000
0.6939 0.1939 0.5000
0.5000 0.5000 0.0000
```

Results
Crystal system ... orthorhombic
ρ ... 3.7 Mg/m³
E ... -2.534 eV per atom
Energy relative to the elements ... -0.1026 eV per atom



5.
## BaCa2Ag (GGA-PBEsol)

Data for crystalline BaCa2Ag at its relaxed geometry.

The structure in POSCAR format:
```
BaCa2Ag
1.0
3.5111 -6.0735 0.0000
3.5111 6.0735 0.0000
-1.7398 0.0000 3.3160
Ba Ca Ag
1 2 1
Direct
0.0000 0.0000 0.0000
0.0000 0.5000 0.5000
0.5000 0.0000 0.5000
0.5000 0.5000 0.0000
```

Results
Crystal system ... monoclinic
ρ ... 3.8 Mg/m³
E ... -2.310 eV per atom
Energy relative to the elements ... 0.1215 eV per atom



6.
## BaCa2Ag (GGA-PBEsol)

Data for crystalline BaCa2Ag at its relaxed geometry.

The structure in POSCAR format:
```
BaCa2Ag
1.0
3.7802 0.0000 0.0000
0.0000 3.7802 0.0000
0.0000 0.0000 9.8695
Ba Ca Ag
1 2 1
Direct
0.0000 0.0000 0.0000
0.5000 0.5000 0.3256
0.5000 0.5000 0.6744
0.0000 0.0000 0.5000
```

Results
Crystal system ... tetragonal
ρ ... 3.8 Mg/m³
E ... -2.548 eV per atom
Energy relative to the elements ... -0.1165 eV per atom



7.
## BaCa2Ag (GGA-PBEsol)

Data for crystalline BaCa2Ag at its relaxed geometry.

The structure in POSCAR format:
```
BaCa2Ag
1.0
3.9007 0.0000 0.0000
0.0000 3.9007 0.0000
0.0000 0.0000 9.4316
Ba Ca Ag
1 2 1
Direct
0.0000 0.0000 0.0000
0.0000 0.0000 0.6171
0.5000 0.5000 0.3345
0.5000 0.5000 0.7746
```

Results
Crystal system ... tetragonal
ρ ... 3.8 Mg/m³
E ... -2.541 eV per atom
Energy relative to the elements ... -0.1092 eV per atom



8.
## BaCaAgF7 (GGA-PBEsol)

Data for crystalline BaCaAgF7 at its relaxed geometry.

The structure in POSCAR format:
```
BaCaAgF7
1.0
5.6914 0.0000 0.0000
0.0000 10.9036 0.0000
-0.2221 0.0000 9.5574
Ba Ca Ag F
4 4 4 28
Direct
0.2261 0.1526 0.4767
0.2261 0.3474 0.9767
0.7739 0.6526 0.0233
0.7739 0.8474 0.5233
0.2068 0.5714 0.3585
0.2068 0.9286 0.8585
0.7932 0.0714 0.1415
0.7932 0.4286 0.6415
0.3046 0.6557 0.7038
0.3046 0.8443 0.2038
0.6954 0.1557 0.7962
0.6954 0.3443 0.2962
0.0030 0.7455 0.7756
0.0030 0.7545 0.2756
0.0868 0.5166 0.1481
0.0868 0.9834 0.6481
0.1556 0.5062 0.6002
0.1556 0.9938 0.1002
0.2100 0.7381 0.5159
0.2100 0.7619 0.0159
0.3899 0.1095 0.9001
0.3899 0.3905 0.4001
0.4191 0.5533 0.8731
0.4191 0.9467 0.3731
0.4985 0.6936 0.2754
0.4985 0.8064 0.7754
0.5015 0.1936 0.2246
0.5015 0.3064 0.7246
0.5809 0.0533 0.6269
0.5809 0.4467 0.1269
0.6101 0.6095 0.5999
0.6101 0.8905 0.0999
0.7900 0.2381 0.9841
0.7900 0.2619 0.4841
0.8444 0.0062 0.8998
0.8444 0.4938 0.3998
0.9132 0.0166 0.3519
0.9132 0.4834 0.8519
0.9970 0.2455 0.7244
0.9970 0.2545 0.2244
```

Results
Crystal system ... monoclinic
ρ ... 4.7 Mg/m³
E ... -4.843 eV per atom
Formation energy from raw total energies ... -2.734 eV per atom



Number 1: magnetization 0.626 μB/f.u.. Number 2: magnetization 12.047 μB/f.u.. Number 3: magnetization 0.000 μB/f.u.. Number 4: magnetization 0.000 μB/f.u.. Number 5: magnetization 0.000 μB/f.u.. Number 6: magnetization 0.000 μB/f.u.. Number 7: magnetization 0.000 μB/f.u.. Number 8: magnetization 2.024 μB/f.u..